# 1
## Ca4Ir (PBE-GGA)

Data for a geometry-optimized Ca4Ir structure.

Unit cell a=7.6076 b=7.6076 c=7.6076 alpha=106.88 beta=106.88 gamma=114.79
Last column: nearest neighbours and their distance in Å.
Element x y z (fractional)
Ca (0.1284, 0.4326, 0.6958)  2 Ir 2.81-3.15
Ca (0.1826, 0.9868, 0.8042)  2 Ir 2.81-3.15
Ca (0.5674, 0.2632, 0.6958)  2 Ir 2.81-3.15
Ca (0.5674, 0.8716, 0.3042)  1 Ir 2.81
Ir (0.2500, 0.7500, 0.5000)  4 Ca 2.81
Ca (0.6216, 0.8174, 0.8042)  2 Ir 2.81-3.15
Ca (0.1826, 0.3784, 0.1958)  1 Ir 2.81
Ir (0.5000, 0.5000, 0.0000)  4 Ca 2.81
Ca (0.0132, 0.8174, 0.1958)  1 Ir 2.81
Ca (0.7368, 0.4326, 0.3042)  1 Ir 2.81

Properties
Magnetic moment, μB per formula unit: 0.00
Offset from the most stable computed form, eV/f.u.: 0.000
Density of states at the Fermi level, states/eV per cell: 4.3

---

# 2
## Re2PtCl (PBE-GGA)

Data for a geometry-optimized Re2PtCl structure.

Unit cell a=3.7955 b=2.8785 c=6.2560 alpha=90.00 beta=90.00 gamma=90.00
Last column: nearest neighbours and their distance in Å.
Element x y z (fractional)
Re (0.0000, 0.2500, 0.9477)  1 Re 2.47, 2 Cl 2.68, 4 Pt 2.68
Re (0.0000, 0.2500, 0.5523)  1 Re 2.47, 2 Cl 2.68, 4 Pt 2.68
Pt (0.5000, 0.7500, 0.7500)  8 Re 2.68, 2 Pt 2.88
Cl (0.5000, 0.2500, 0.2500)  4 Re 2.68, 2 Cl 2.88

Properties
Energy relative to the elements, uncorrected, kcal/mol of atoms: 13.25
Magnetic moment, μB per formula unit: 0.00
Offset from the most stable computed form, eV/f.u.: 1.359
Density of states at the Fermi level, states/eV per cell: 2.4

---

# 3
## LaNd2Sm (PBE-GGA)

Data for a geometry-optimized LaNd2Sm structure.

Unit cell a=3.6912 b=6.4040 c=6.3613 alpha=99.70 beta=90.00 gamma=106.75
Last column: nearest neighbours and their distance in Å.
Element x y z (fractional)
Nd (0.2491, 0.4983, 0.2492)  6 Nd 3.67-3.69, 3 Sm 3.68-3.70, 3 La 3.69-3.70
Nd (0.7509, 0.5017, 0.7508)  6 Nd 3.67-3.69, 3 Sm 3.68-3.70, 3 La 3.69-3.70
Sm (0.5000, 0.0000, 0.0000)  4 La 3.68, 6 Nd 3.68-3.70, 2 Sm 3.69
La (0.0000, 0.0000, 0.5000)  4 Sm 3.68, 6 Nd 3.69-3.70, 2 La 3.69

Properties
Magnetic moment, μB per formula unit: 0.00
Offset from the most stable computed form, eV/f.u.: 0.009
Density of states at the Fermi level, states/eV per cell: 7.1